Record 1
Below is a geometry-optimized ZrSc2Re2 structure, with properties calculated at the PBE level.

```
ZrSc2Re2
1.0
6.8416 0.0000 0.0000
0.0000 6.8416 0.0000
0.0000 0.0000 4.3318
Zr Sc Re
2 4 4
Direct
0.0000 0.0000 0.0000
0.5000 0.5000 0.0000
0.1717 0.3283 0.5000
0.3283 0.8283 0.5000
0.6717 0.1717 0.5000
0.8283 0.6717 0.5000
0.1258 0.6258 0.0000
0.3742 0.1258 0.0000
0.6258 0.8742 0.0000
0.8742 0.3742 0.0000
```

Uncorrected energy   -9.16 eV/atom
Space-group type   P4/mbm, No. 127

Record 2
Below is a geometry-optimized ZrSc2Re structure, with properties calculated at the PBE level.

```
ZrSc2Re
1.0
0.0000 3.3983 3.3983
3.3983 0.0000 3.3983
3.3983 3.3983 0.0000
Zr Sc Re
1 2 1
Direct
0.0000 0.0000 0.0000
0.2500 0.2500 0.2500
0.7500 0.7500 0.7500
0.5000 0.5000 0.5000
```

Polymorph energy (0 for the lowest one)   256 meV/atom
Space-group type   Fm-3m, No. 225

Number 1: D(E_F) 5.74 states/eV/cell, total magnetic moment 0.0 μB per formula unit. Number 2: D(E_F) 6.85 states/eV/cell, total magnetic moment 1.1 μB per formula unit.